Record 1
A geometry-optimized SiOs2Au structure. Source: the Alexandria database, functional GGA-PBEsol.

Values from the calculation:
E = -33.1 eV per cell

Cell lengths 3.9665, 5.2575, 5.2575 Å; angles 31.77, 90.00, 90.00 degrees
Last column: nearest neighbours and their distance in Å.
Positions (direct):
Si: 0.0000 0.0000 0.0000  3 Os 2.42-2.56, 4 Au 2.66
Os: 0.0000 0.2536 0.2536  1 Si 2.56, 4 Os 2.69
Os: 0.5000 0.8628 0.8628  2 Si 2.42, 1 Au 2.64, 4 Os 2.69
Au: 0.5000 0.6016 0.6016  7 Os 2.64-2.89, 4 Si 2.66, 2 Au 2.88


Record 2
A geometry-optimized SiTc2OsAu structure. Source: the Alexandria database, functional GGA-PBEsol.

Values from the calculation:
E = -31.8 eV per cell

Cell lengths 4.8161, 4.8161, 4.3098 Å; angles 90.00, 90.00, 90.00 degrees
Last column: nearest neighbours and their distance in Å.
Positions (direct):
Si: 0.0000 0.0000 0.0000  2 Au 2.15
Tc: 0.0000 0.5000 0.5000  2 Au 2.41
Tc: 0.5000 0.0000 0.5000  2 Au 2.41
Os: 0.5000 0.5000 0.0000  8 Tc 3.23, 4 Si 3.41
Au: 0.0000 0.0000 0.5000  2 Si 2.15, 4 Tc 2.41


Record 3
A geometry-optimized ZrSn2OsAu structure. Source: the Alexandria database, functional GGA-PBEsol.

Values from the calculation:
E = -31.8 eV per cell

Cell lengths 4.9990, 4.9990, 4.9751 Å; angles 90.00, 90.00, 90.00 degrees
Last column: nearest neighbours and their distance in Å.
Positions (direct):
Zr: 0.0000 0.0000 0.0000  2 Os 2.49
Sn: 0.0000 0.5000 0.5000  2 Os 2.50
Sn: 0.5000 0.0000 0.5000  2 Os 2.50
Os: 0.0000 0.0000 0.5000  2 Zr 2.49, 4 Sn 2.50
Au: 0.5000 0.5000 0.0000  8 Sn 3.53, 4 Zr 3.53


What are the total magnetization values for these records? In order: 0.0; 5.5; 0.0 μB per formula unit.